Material: ZnFe2Os
Method: DFT, PBE
State: relaxed

Cell lengths 4.5103, 4.5103, 4.5103 Å; angles 131.14, 131.14, 71.59 degrees
Atoms (fractional coordinates):
Zn  0.0000  0.0000  0.0000
Fe  0.2500  0.7500  0.5000
Fe  0.5000  0.5000  0.0000
Os  0.7500  0.2500  0.5000

Values from the calculation:
Crystal system ... tetragonal
E_form ... 0.200 eV/atom
SG ... No. 119